## one
Crystalline K3Cd2Ag3 at its relaxed geometry. Source: the Alexandria database, functional PBE.

Properties
Fermi-level density of states, states/eV per cell: 6.9

```
data_K3Cd2Ag3
_chemical_formula_sum 'K12 Cd8 Ag12'
_space_group_name_H-M_alt 'C m c m'
_space_group_IT_number 63
_space_group_name_Hall '-C 2c 2'
_cell_length_a 4.481
_cell_length_b 12.386
_cell_length_c 18.640
_cell_angle_alpha 90.00
_cell_angle_beta 90.00
_cell_angle_gamma 90.00
loop_
_atom_site_label
_atom_site_type_symbol
_atom_site_fract_x
_atom_site_fract_y
_atom_site_fract_z
K1 K 0.000 0.069 0.250
K2 K 0.000 0.134 0.046
Cd1 Cd 0.000 0.198 0.657
Ag1 Ag 0.000 0.346 0.250
Ag2 Ag 0.000 0.426 0.105
```

## two
Crystalline K3Cd2Ag3 at its relaxed geometry. Source: the Alexandria database, functional PBE.

Properties
Fermi-level density of states, states/eV per cell: 12.5

```
data_K3Cd2Ag3
_chemical_formula_sum 'K12 Cd8 Ag12'
_space_group_name_H-M_alt 'C m c m'
_space_group_IT_number 63
_space_group_name_Hall '-C 2c 2'
_cell_length_a 4.957
_cell_length_b 12.420
_cell_length_c 16.275
_cell_angle_alpha 90.00
_cell_angle_beta 90.00
_cell_angle_gamma 90.00
loop_
_atom_site_label
_atom_site_type_symbol
_atom_site_fract_x
_atom_site_fract_y
_atom_site_fract_z
K1 K 0.000 0.084 0.114
K2 K 0.000 0.384 0.250
Cd1 Cd 0.000 0.211 0.585
Ag1 Ag 0.000 0.304 0.750
Ag2 Ag 0.000 0.394 0.034
```

Verdict on stability: two comes out on top.

## one
Crystalline K2CdAg2 at its relaxed geometry. Source: the Alexandria database, functional PBE.

Properties
Fermi-level density of states, states/eV per cell: 4.3

```
data_K2CdAg2
_chemical_formula_sum 'K4 Cd2 Ag4'
_space_group_name_H-M_alt 'I 4/m m m'
_space_group_IT_number 139
_space_group_name_Hall '-I 4 2'
_cell_length_a 3.942
_cell_length_b 3.942
_cell_length_c 21.480
_cell_angle_alpha 90.00
_cell_angle_beta 90.00
_cell_angle_gamma 90.00
loop_
_atom_site_label
_atom_site_type_symbol
_atom_site_fract_x
_atom_site_fract_y
_atom_site_fract_z
K1 K 0.000 0.000 0.117
Cd1 Cd 0.000 0.000 0.500
Ag1 Ag 0.000 0.500 0.250
```

## two
Crystalline K2CdAg2 at its relaxed geometry. Source: the Alexandria database, functional PBE.

Properties
Fermi-level density of states, states/eV per cell: 5.0

```
data_K2CdAg2
_chemical_formula_sum 'K4 Cd2 Ag4'
_space_group_name_H-M_alt 'I 4/m m m'
_space_group_IT_number 139
_space_group_name_Hall '-I 4 2'
_cell_length_a 6.586
_cell_length_b 6.586
_cell_length_c 8.282
_cell_angle_alpha 90.00
_cell_angle_beta 90.00
_cell_angle_gamma 90.00
loop_
_atom_site_label
_atom_site_type_symbol
_atom_site_fract_x
_atom_site_fract_y
_atom_site_fract_z
K1 K 0.000 0.500 0.250
Cd1 Cd 0.000 0.000 0.000
Ag1 Ag 0.000 0.000 0.337
```

## three
Crystalline K2CdAg2 at its relaxed geometry. Source: the Alexandria database, functional PBE.

Properties
Fermi-level density of states, states/eV per cell: 3.8

```
data_K2CdAg2
_chemical_formula_sum 'K4 Cd2 Ag4'
_space_group_name_H-M_alt 'P 4/m b m'
_space_group_IT_number 127
_space_group_name_Hall '-P 4 2ab'
_cell_length_a 9.648
_cell_length_b 9.648
_cell_length_c 3.802
_cell_angle_alpha 90.00
_cell_angle_beta 90.00
_cell_angle_gamma 90.00
loop_
_atom_site_label
_atom_site_type_symbol
_atom_site_fract_x
_atom_site_fract_y
_atom_site_fract_z
K1 K 0.181 0.319 0.000
Cd1 Cd 0.000 0.000 0.000
Ag1 Ag 0.106 0.606 0.500
```

## four
Crystalline K2CdAg2 at its relaxed geometry. Source: the Alexandria database, functional PBE.

Properties
Fermi-level density of states, states/eV per cell: 10.5

```
data_K2CdAg2
_chemical_formula_sum 'K8 Cd4 Ag8'
_space_group_name_H-M_alt 'C 1 2/c 1'
_space_group_IT_number 15
_cell_length_a 10.856
_cell_length_b 6.654
_cell_length_c 8.979
_cell_angle_alpha 90.00
_cell_angle_beta 101.44
_cell_angle_gamma 90.00
loop_
_space_group_symop_operation_xyz
'x,y,z'
'-x,-y,-z'
'-x,y,-z+1/2'
'x,-y,z+1/2'
'x+1/2,y+1/2,z'
'-x+1/2,-y+1/2,-z'
'-x+1/2,y+1/2,-z+1/2'
'x+1/2,-y+1/2,z+1/2'
loop_
_atom_site_label
_atom_site_type_symbol
_atom_site_fract_x
_atom_site_fract_y
_atom_site_fract_z
K1 K 0.148 0.133 0.146
Cd1 Cd 0.000 0.403 0.750
Ag1 Ag 0.136 0.360 0.507
```

Verdict on stability: four comes out on top.

## one
Crystalline K2CdAg2 at its relaxed geometry. Source: the Alexandria database, functional PBE.

Properties
Fermi-level density of states, states/eV per cell: 3.6

```
data_K2CdAg2
_chemical_formula_sum 'K4 Cd2 Ag4'
_space_group_name_H-M_alt 'P 4/m b m'
_space_group_IT_number 127
_space_group_name_Hall '-P 4 2ab'
_cell_length_a 7.648
_cell_length_b 7.648
_cell_length_c 5.300
_cell_angle_alpha 90.00
_cell_angle_beta 90.00
_cell_angle_gamma 90.00
loop_
_atom_site_label
_atom_site_type_symbol
_atom_site_fract_x
_atom_site_fract_y
_atom_site_fract_z
K1 K 0.175 0.325 0.000
Cd1 Cd 0.000 0.000 0.500
Ag1 Ag 0.131 0.631 0.500
```

## two
Crystalline K2CdAg2 at its relaxed geometry. Source: the Alexandria database, functional PBE.

Properties
Fermi-level density of states, states/eV per cell: 4.1

```
data_K2CdAg2
_chemical_formula_sum 'K4 Cd2 Ag4'
_space_group_name_H-M_alt 'I m m m'
_space_group_IT_number 71
_space_group_name_Hall '-I 2 2'
_cell_length_a 4.942
_cell_length_b 5.823
_cell_length_c 10.900
_cell_angle_alpha 90.00
_cell_angle_beta 90.00
_cell_angle_gamma 90.00
loop_
_atom_site_label
_atom_site_type_symbol
_atom_site_fract_x
_atom_site_fract_y
_atom_site_fract_z
K1 K 0.000 0.000 0.200
Cd1 Cd 0.000 0.500 0.000
Ag1 Ag 0.000 0.257 0.500
```

Verdict on stability: two comes out on top.

## one
Crystalline K2CdAg3 at its relaxed geometry. Source: the Alexandria database, functional PBE.

Properties
Fermi-level density of states, states/eV per cell: 4.5

```
data_K2CdAg3
_chemical_formula_sum 'K4 Cd2 Ag6'
_space_group_name_H-M_alt 'C 1 2/m 1'
_space_group_IT_number 12
_cell_length_a 10.282
_cell_length_b 6.159
_cell_length_c 5.982
_cell_angle_alpha 90.00
_cell_angle_beta 123.53
_cell_angle_gamma 90.00
loop_
_space_group_symop_operation_xyz
'x,y,z'
'-x,-y,-z'
'-x,y,-z'
'x,-y,z'
'x+1/2,y+1/2,z'
'-x+1/2,-y+1/2,-z'
'-x+1/2,y+1/2,-z'
'x+1/2,-y+1/2,z'
loop_
_atom_site_label
_atom_site_type_symbol
_atom_site_fract_x
_atom_site_fract_y
_atom_site_fract_z
K1 K 0.122 0.000 0.368
Cd1 Cd 0.000 0.500 0.500
Ag1 Ag 0.000 0.500 0.000
Ag2 Ag 0.250 0.250 0.000
```

## two
Crystalline K2CdAg3 at its relaxed geometry. Source: the Alexandria database, functional PBE.

Properties
Fermi-level density of states, states/eV per cell: 14.2

```
data_K2CdAg3
_chemical_formula_sum 'K16 Cd8 Ag24'
_space_group_name_H-M_alt 'F m m m'
_space_group_IT_number 69
_space_group_name_Hall '-F 2 2'
_cell_length_a 9.099
_cell_length_b 9.747
_cell_length_c 16.923
_cell_angle_alpha 90.00
_cell_angle_beta 90.00
_cell_angle_gamma 90.00
loop_
_atom_site_label
_atom_site_type_symbol
_atom_site_fract_x
_atom_site_fract_y
_atom_site_fract_z
K1 K 0.246 0.000 0.000
K2 K 0.250 0.250 0.250
Cd1 Cd 0.000 0.000 0.333
Ag1 Ag 0.000 0.000 0.166
Ag2 Ag 0.000 0.249 0.083
```

Verdict on stability: one comes out on top.

## one
Crystalline K4CdAg at its relaxed geometry. Source: the Alexandria database, functional PBE.

Properties
Fermi-level density of states, states/eV per cell: 11.2

```
data_K4CdAg
_chemical_formula_sum 'K16 Cd4 Ag4'
_space_group_name_H-M_alt 'F -4 3 m'
_space_group_IT_number 216
_space_group_name_Hall 'F -4 2 3'
_cell_length_a 10.730
_cell_length_b 10.730
_cell_length_c 10.730
_cell_angle_alpha 90.00
_cell_angle_beta 90.00
_cell_angle_gamma 90.00
loop_
_atom_site_label
_atom_site_type_symbol
_atom_site_fract_x
_atom_site_fract_y
_atom_site_fract_z
K1 K 0.124 0.124 0.124
Cd1 Cd 0.000 0.000 0.500
Ag1 Ag 0.250 0.250 0.750
```

## two
Crystalline K4CdAg at its relaxed geometry. Source: the Alexandria database, functional PBE.

Properties
Fermi-level density of states, states/eV per cell: 15.5

```
data_K4CdAg
_chemical_formula_sum 'K16 Cd4 Ag4'
_space_group_name_H-M_alt 'I 4/m c m'
_space_group_IT_number 140
_space_group_name_Hall '-I 4 2c'
_cell_length_a 8.585
_cell_length_b 8.585
_cell_length_c 15.343
_cell_angle_alpha 90.00
_cell_angle_beta 90.00
_cell_angle_gamma 90.00
loop_
_atom_site_label
_atom_site_type_symbol
_atom_site_fract_x
_atom_site_fract_y
_atom_site_fract_z
K1 K 0.183 0.317 0.125
Cd1 Cd 0.000 0.000 0.250
Ag1 Ag 0.000 0.000 0.000
```

Verdict on stability: two comes out on top.

## one
Crystalline KCdAg4 at its relaxed geometry. Source: the Alexandria database, functional PBE.

Properties
Fermi-level density of states, states/eV per cell: 3.9

```
data_KCdAg4
_chemical_formula_sum 'K2 Cd2 Ag8'
_space_group_name_H-M_alt 'P m m a'
_space_group_IT_number 51
_cell_length_a 8.053
_cell_length_b 4.416
_cell_length_c 8.906
_cell_angle_alpha 90.00
_cell_angle_beta 90.00
_cell_angle_gamma 90.00
loop_
_space_group_symop_operation_xyz
'x,y,z'
'-x,-y,-z'
'-x+1/2,-y,z'
'x+1/2,y,-z'
'x+1/2,-y,-z'
'-x+1/2,y,z'
'-x,y,-z'
'x,-y,z'
loop_
_atom_site_label
_atom_site_type_symbol
_atom_site_fract_x
_atom_site_fract_y
_atom_site_fract_z
K1 K 0.250 0.000 0.128
Cd1 Cd 0.250 0.000 0.741
Ag1 Ag 0.000 0.000 0.500
Ag2 Ag 0.045 0.500 0.715
Ag3 Ag 0.250 0.500 0.449
```

## two
Crystalline KCdAg4 at its relaxed geometry. Source: the Alexandria database, functional PBE.

Properties
Fermi-level density of states, states/eV per cell: 10.3

```
data_KCdAg4
_chemical_formula_sum 'K4 Cd4 Ag16'
_space_group_name_H-M_alt 'F -4 3 m'
_space_group_IT_number 216
_space_group_name_Hall 'F -4 2 3'
_cell_length_a 8.118
_cell_length_b 8.118
_cell_length_c 8.118
_cell_angle_alpha 90.00
_cell_angle_beta 90.00
_cell_angle_gamma 90.00
loop_
_atom_site_label
_atom_site_type_symbol
_atom_site_fract_x
_atom_site_fract_y
_atom_site_fract_z
K1 K 0.000 0.000 0.000
Cd1 Cd 0.250 0.250 0.250
Ag1 Ag 0.125 0.125 0.625
```

Verdict on stability: two comes out on top.